Run P
Entry from Alexandria: an optimized crystal structure of AlPRu2 (PBE).

Results
Magnetic moment, μB/cell: 0.0

a b c (Å): 4.873 4.873 4.873
angles (deg): 144.90 121.09 70.45
Positions (direct):
Al 0.000 0.000 0.000
P 0.500 0.500 0.000
Ru 0.280 0.780 0.500
Ru 0.720 0.220 0.500

Run Q
Entry from Alexandria: an optimized crystal structure of AlPRu2 (PBE).

Results
Magnetic moment, μB/cell: 0.0

a b c (Å): 4.184 4.184 4.184
angles (deg): 60.00 60.00 60.00
Positions (direct):
Al 0.000 0.000 0.000
P 0.500 0.500 0.500
Ru 0.250 0.250 0.250
Ru 0.750 0.750 0.750

Result of the stability comparison: run Q is the most stable of them.